Record 1
Compound: YPd3S4
Source: Alexandria via LeMat-Bulk
Functional: SCAN
Structure: PBEsol geometry Values from VASP.

Quantum ESPRESSO input file:
```
&SYSTEM
  ibrav = 0, nat = 16, ntyp = 3
/
ATOMIC_SPECIES
Y 88.91 Y.upf
Pd 106.42 Pd.upf
S 32.06 S.upf
CELL_PARAMETERS angstrom
6.590 0.000 0.000
0.000 6.590 0.000
0.000 0.000 6.590
ATOMIC_POSITIONS angstrom
Y 0.000 0.000 0.000
Y 3.295 3.295 3.295
Pd 1.648 0.000 3.295
Pd 4.943 0.000 3.295
Pd 3.295 1.648 0.000
Pd 3.295 4.943 0.000
Pd 0.000 3.295 1.648
Pd 0.000 3.295 4.943
S 1.648 1.648 1.648
S 4.943 4.943 4.943
S 4.943 4.943 1.648
S 4.943 1.648 4.943
S 1.648 1.648 4.943
S 1.648 4.943 1.648
S 1.648 4.943 4.943
S 4.943 1.648 1.648
```

Properties
Raw total energy: -346.10 eV/cell
Raw formation energy: -1.0466 eV per atom

***

Record 2
Compound: Y3PdS
Source: Alexandria via LeMat-Bulk
Functional: SCAN
Structure: PBEsol geometry Values from VASP.

Quantum ESPRESSO input file:
```
&SYSTEM
  ibrav = 0, nat = 5, ntyp = 3
/
ATOMIC_SPECIES
Y 88.91 Y.upf
S 32.06 S.upf
Pd 106.42 Pd.upf
CELL_PARAMETERS angstrom
-3.874 -3.443 1.060
2.141 -0.948 4.744
-2.897 3.903 2.088
ATOMIC_POSITIONS angstrom
Y 1.070 -0.474 2.372
Y -1.449 1.952 1.044
Y -1.937 -1.721 0.530
S -2.315 -0.244 3.946
Pd 0.000 0.000 0.000
```

Properties
Raw total energy: -127.91 eV/cell
Raw formation energy: -0.3956 eV per atom

***

Record 3
Compound: YPd3S
Source: Alexandria via LeMat-Bulk
Functional: SCAN
Structure: PBEsol geometry Values from VASP.

Quantum ESPRESSO input file:
```
&SYSTEM
  ibrav = 0, nat = 5, ntyp = 3
/
ATOMIC_SPECIES
Y 88.91 Y.upf
S 32.06 S.upf
Pd 106.42 Pd.upf
CELL_PARAMETERS angstrom
4.891 0.000 0.000
0.000 4.891 0.000
0.000 0.000 4.891
ATOMIC_POSITIONS angstrom
Y 0.000 0.000 0.000
S 2.446 2.446 2.446
Pd 0.000 2.446 0.000
Pd 0.000 0.000 2.446
Pd 2.446 0.000 0.000
```

Properties
Raw total energy: -131.63 eV/cell
Raw formation energy: 0.8326 eV per atom

***

Record 4
Compound: SbPd3
Source: Alexandria via LeMat-Bulk
Functional: SCAN
Structure: PBEsol geometry Values from VASP.

Quantum ESPRESSO input file:
```
&SYSTEM
  ibrav = 0, nat = 8, ntyp = 2
/
ATOMIC_SPECIES
Sb 121.76 Sb.upf
Pd 106.42 Pd.upf
CELL_PARAMETERS angstrom
4.603 0.000 0.000
0.000 5.639 0.000
0.000 -2.819 4.883
ATOMIC_POSITIONS angstrom
Sb 1.151 2.819 1.628
Sb 3.452 0.000 3.256
Pd 3.452 4.225 0.816
Pd 3.452 1.414 0.816
Pd 1.151 0.000 1.632
Pd 1.151 -1.406 4.067
Pd 1.151 1.406 4.067
Pd 3.452 2.819 3.251
```

Properties
Raw total energy: -274.05 eV/cell
Raw formation energy: -0.3608 eV per atom

***

Record 5
Compound: Sb2Pd
Source: Alexandria via LeMat-Bulk
Functional: SCAN
Structure: PBEsol geometry Values from VASP.

Quantum ESPRESSO input file:
```
&SYSTEM
  ibrav = 0, nat = 12, ntyp = 2
/
ATOMIC_SPECIES
Sb 121.76 Sb.upf
Pd 106.42 Pd.upf
CELL_PARAMETERS angstrom
-5.903 0.015 -2.621
1.907 -4.407 -4.320
-1.799 -4.722 4.023
ATOMIC_POSITIONS angstrom
Sb -2.159 -3.396 -1.087
Sb -1.125 -6.884 0.466
Sb -6.037 -3.511 -0.314
Sb -2.269 -4.437 -4.902
Sb -3.636 -5.718 -1.831
Sb -4.670 -2.230 -3.385
Sb 0.242 -5.603 -2.605
Sb -3.526 -4.676 1.984
Pd 0.000 0.000 0.000
Pd -3.851 -2.353 0.701
Pd -1.998 -2.196 -3.471
Pd 0.054 -4.565 -0.149
```

Properties
Raw total energy: -434.04 eV/cell
Raw formation energy: -0.4051 eV per atom

***

Record 6
Compound: SbPd3
Source: Alexandria via LeMat-Bulk
Functional: SCAN
Structure: PBEsol geometry Values from VASP.

Quantum ESPRESSO input file:
```
&SYSTEM
  ibrav = 0, nat = 4, ntyp = 2
/
ATOMIC_SPECIES
Sb 121.76 Sb.upf
Pd 106.42 Pd.upf
CELL_PARAMETERS angstrom
3.988 0.000 0.000
0.000 3.988 0.000
0.000 0.000 3.988
ATOMIC_POSITIONS angstrom
Sb 0.000 0.000 0.000
Pd 0.000 1.994 1.994
Pd 1.994 0.000 1.994
Pd 1.994 1.994 0.000
```

Properties
Raw total energy: -137.01 eV/cell
Raw formation energy: -0.3575 eV per atom

***

Record 7
Compound: SbPd3
Source: Alexandria via LeMat-Bulk
Functional: SCAN
Structure: PBEsol geometry Values from VASP.

Quantum ESPRESSO input file:
```
&SYSTEM
  ibrav = 0, nat = 4, ntyp = 2
/
ATOMIC_SPECIES
Sb 121.76 Sb.upf
Pd 106.42 Pd.upf
CELL_PARAMETERS angstrom
-1.684 -2.622 -3.210
-1.843 -3.935 1.064
-4.426 -0.561 -0.338
ATOMIC_POSITIONS angstrom
Sb 0.000 0.000 0.000
Pd -1.988 -1.780 -0.621
Pd -5.964 -5.339 -1.863
Pd -3.976 -3.559 -1.242
```

Properties
Raw total energy: -137.10 eV/cell
Raw formation energy: -0.3793 eV per atom

***

Record 8
Compound: SbPd
Source: Alexandria via LeMat-Bulk
Functional: SCAN
Structure: PBEsol geometry Values from VASP.

Quantum ESPRESSO input file:
```
&SYSTEM
  ibrav = 0, nat = 4, ntyp = 2
/
ATOMIC_SPECIES
Sb 121.76 Sb.upf
Pd 106.42 Pd.upf
CELL_PARAMETERS angstrom
4.085 0.000 0.000
-2.043 3.538 0.000
0.000 0.000 5.561
ATOMIC_POSITIONS angstrom
Sb 0.000 2.359 1.390
Sb 2.043 1.179 4.171
Pd 0.000 0.000 2.781
Pd 0.000 0.000 0.000
```

Properties
Raw total energy: -142.04 eV/cell
Raw formation energy: -0.4915 eV per atom

***

Record 9
Compound: ScSbPd2
Source: Alexandria via LeMat-Bulk
Functional: SCAN
Structure: PBEsol geometry Values from VASP.

Quantum ESPRESSO input file:
```
&SYSTEM
  ibrav = 0, nat = 8, ntyp = 3
/
ATOMIC_SPECIES
Sc 44.96 Sc.upf
Sb 121.76 Sb.upf
Pd 106.42 Pd.upf
CELL_PARAMETERS angstrom
-1.816 -1.700 3.270
3.609 -1.558 1.195
0.748 9.125 2.578
ATOMIC_POSITIONS angstrom
Sc -0.086 2.898 4.040
Sc 0.896 -1.629 2.232
Sb 2.627 2.969 3.002
Sb 0.000 0.000 0.000
Pd -0.061 0.199 3.975
Pd 2.675 0.291 2.895
Pd 1.704 4.797 4.731
Pd 0.762 6.446 2.484
```

Properties
Raw total energy: -238.74 eV/cell
Raw formation energy: -0.5808 eV per atom

***

Record 10
Compound: ScSb2TePd
Source: Alexandria via LeMat-Bulk
Functional: SCAN
Structure: PBEsol geometry Values from VASP.

Quantum ESPRESSO input file:
```
&SYSTEM
  ibrav = 0, nat = 5, ntyp = 4
/
ATOMIC_SPECIES
Sc 44.96 Sc.upf
Sb 121.76 Sb.upf
Te 127.60 Te.upf
Pd 106.42 Pd.upf
CELL_PARAMETERS angstrom
5.280 0.000 0.000
0.000 5.322 0.000
0.000 0.000 5.322
ATOMIC_POSITIONS angstrom
Sc 0.000 0.000 0.000
Sb 0.000 0.000 2.661
Sb 0.000 2.661 0.000
Te 2.640 0.000 0.000
Pd 2.640 2.661 2.661
```

Properties
Raw total energy: -156.58 eV/cell
Raw formation energy: 0.4402 eV per atom

***

Record 11
Compound: SbPdSe2
Source: Alexandria via LeMat-Bulk
Functional: SCAN
Structure: PBEsol geometry Values from VASP.

Quantum ESPRESSO input file:
```
&SYSTEM
  ibrav = 0, nat = 4, ntyp = 3
/
ATOMIC_SPECIES
Sb 121.76 Sb.upf
Se 78.96 Se.upf
Pd 106.42 Pd.upf
CELL_PARAMETERS angstrom
3.898 0.000 0.000
1.949 3.376 0.000
1.949 1.125 7.999
ATOMIC_POSITIONS angstrom
Sb 3.898 2.251 4.000
Se 5.848 3.376 2.341
Se 1.949 1.125 5.659
Pd 0.000 0.000 0.000
```

Properties
Raw total energy: -109.78 eV/cell
Raw formation energy: 0.1023 eV per atom

***

Record 12
Compound: ZrSbPdSe2
Source: Alexandria via LeMat-Bulk
Functional: SCAN
Structure: PBEsol geometry Values from VASP.

Quantum ESPRESSO input file:
```
&SYSTEM
  ibrav = 0, nat = 5, ntyp = 4
/
ATOMIC_SPECIES
Sb 121.76 Sb.upf
Se 78.96 Se.upf
Zr 91.22 Zr.upf
Pd 106.42 Pd.upf
CELL_PARAMETERS angstrom
-3.252 -1.523 3.508
-2.134 -3.099 -3.323
3.519 -4.040 1.508
ATOMIC_POSITIONS angstrom
Sb 1.759 -2.020 0.754
Se -1.067 -1.550 -1.662
Se -1.626 -0.761 1.754
Zr 0.000 0.000 0.000
Pd -0.934 -4.331 0.847
```

Properties
Raw total energy: -140.21 eV/cell
Raw formation energy: 0.1360 eV per atom

***

Number 1: volume 17.9 A^3/atom. Number 2: volume 29.6 A^3/atom. Number 3: volume 23.4 A^3/atom. Number 4: volume 15.8 A^3/atom. Number 5: volume 22.5 A^3/atom. Number 6: volume 15.9 A^3/atom. Number 7: volume 15.8 A^3/atom. Number 8: volume 20.1 A^3/atom. Number 9: volume 19.1 A^3/atom. Number 10: volume 29.9 A^3/atom. Number 11: volume 26.3 A^3/atom. Number 12: volume 28.0 A^3/atom.